Material: Al2WS
Method: DFT, GGA-PBE
State: optimized geometry

Results
VASP energy (eV per atom): -5.73

a = 6.957 Å, b = 6.957 Å, c = 5.591 Å
α = 51.52°, β = 51.52°, γ = 90.00°
Element x y z (fractional)
S1 0.500 0.500 0.000
S2 0.250 0.750 0.500
Al1 0.594 0.125 0.250
Al2 0.156 0.625 0.250
Al3 0.375 0.406 0.750
Al4 0.875 0.844 0.750
W1 0.000 0.000 0.000
W2 0.750 0.250 0.500